(1)
This record from Alexandria describes a relaxed KPtSe2Br crystal. The functional is PBE.

abc: 5.0122 5.0122 5.5539
angles: 90.00 90.00 90.00
With the nearest neighbours (Å) after each atom.
Space group P4/mmm (No. 123)
Symmetry-distinct sites (fractional):
1 K 0.0000 0.0000 0.0000 (multiplicity 1)  4 Br 3.54, 8 Se 3.74
2 Pt 0.5000 0.5000 0.5000 (multiplicity 1)  4 Se 2.51, 2 Br 2.78
3 Se 0.0000 0.5000 0.5000 (multiplicity 2)  2 Pt 2.51
4 Br 0.5000 0.5000 0.0000 (multiplicity 1)  2 Pt 2.78

Calculated values
Polymorph energy (0 for the lowest one) in eV/f.u.: 0.00

=====

(2)
This record from Alexandria describes a relaxed KSrPtBr2 crystal. The functional is PBE.

abc: 5.7232 5.7232 5.3964
angles: 90.00 90.00 90.00
With the nearest neighbours (Å) after each atom.
Space group P4/mmm (No. 123)
Symmetry-distinct sites (fractional):
1 K 0.0000 0.0000 0.0000 (multiplicity 1)  2 Pt 2.70, 4 Br 2.86
2 Sr 0.5000 0.5000 0.5000 (multiplicity 1)  8 Br 3.93, 4 Pt 4.05
3 Pt 0.0000 0.0000 0.5000 (multiplicity 1)  2 K 2.70
4 Br 0.0000 0.5000 0.0000 (multiplicity 2)  2 K 2.86

Calculated values
DFT total energy in eV/cell: -14.1

=====

(3)
This record from Alexandria describes a relaxed KTa2PtBr crystal. The functional is PBE.

abc: 4.7461 4.7461 5.3706
angles: 90.00 90.00 90.00
With the nearest neighbours (Å) after each atom.
Space group P4/mmm (No. 123)
Symmetry-distinct sites (fractional):
1 K 0.0000 0.0000 0.0000 (multiplicity 1)  2 Br 2.69
2 Ta 0.0000 0.5000 0.5000 (multiplicity 2)  2 Br 2.37
3 Pt 0.5000 0.5000 0.0000 (multiplicity 1)  4 K 3.36, 8 Ta 3.58
4 Br 0.0000 0.0000 0.5000 (multiplicity 1)  4 Ta 2.37

Calculated values
DFT total energy in eV/cell: -25.0

=====

(4)
This record from Alexandria describes a relaxed KTl2PtBr crystal. The functional is PBE.

abc: 5.2847 5.2847 6.3479
angles: 90.00 90.00 90.00
With the nearest neighbours (Å) after each atom.
Space group P4/mmm (No. 123)
Symmetry-distinct sites (fractional):
1 K 0.0000 0.0000 0.0000 (multiplicity 1)  2 Pt 3.17
2 Tl 0.0000 0.5000 0.5000 (multiplicity 2)  2 Pt 2.64
3 Pt 0.0000 0.0000 0.5000 (multiplicity 1)  4 Tl 2.64
4 Br 0.5000 0.5000 0.0000 (multiplicity 1)  4 K 3.74, 8 Tl 4.13

Calculated values
DFT total energy in eV/cell: -16.2

=====

(5)
This record from Alexandria describes a relaxed K2TlPtBr6 crystal. The functional is PBE.

abc: 7.4383 7.4383 47.4593
angles: 90.00 90.00 120.00
With the nearest neighbours (Å) after each atom.
Space group R-3m (No. 166, hexagonal axes)
Symmetry-distinct sites (fractional):
1 K 0.0000 0.0000 0.1433 (multiplicity 6)  9 Br 3.40-3.74
2 K 0.0000 0.0000 0.3113 (multiplicity 6)  9 Br 3.37-3.75
3 Tl 0.0000 0.0000 0.4175 (multiplicity 6)  6 Br 3.22-3.33
4 Pt 0.0000 0.0000 0.0000 (multiplicity 3)  6 Br 2.57
5 Pt 0.0000 0.0000 0.5000 (multiplicity 3)  6 Br 2.61
6 Br 0.0028 0.5014 0.1349 (multiplicity 18)  1 Pt 2.61
7 Br 0.0099 0.5050 0.6983 (multiplicity 18)  1 Pt 2.57

Calculated values
DFT total energy in eV/cell: -178.6

=====

(6)
This record from Alexandria describes a relaxed KTlPtBr6 crystal. The functional is PBE.

abc: 7.8416 13.6248 6.6635
angles: 90.00 90.05 90.00
With the nearest neighbours (Å) after each atom.
Space group C2 (No. 5)
Symmetry-distinct sites (fractional):
1 K 0.0000 0.0000 0.0000 (multiplicity 2)  6 Br 3.49
2 Tl 0.0000 0.3336 0.5000 (multiplicity 2)  6 Br 3.30
3 Pt 0.0000 0.6665 0.5000 (multiplicity 2)  6 Br 2.51
4 Br 0.1291 0.7960 0.2791 (multiplicity 4)  1 Pt 2.51
5 Br 0.1295 0.5371 0.2792 (multiplicity 4)  1 Pt 2.51
6 Br 0.2395 0.1663 0.2804 (multiplicity 4)  1 Pt 2.51

Calculated values
DFT total energy in eV/cell: -51.5

=====

(7)
This record from Alexandria describes a relaxed KTl2PtBr6 crystal. The functional is PBE.

abc: 7.4555 7.4555 47.8707
angles: 90.00 90.00 120.00
With the nearest neighbours (Å) after each atom.
Space group R-3m (No. 166, hexagonal axes)
Symmetry-distinct sites (fractional):
1 K 0.0000 0.0000 0.0830 (multiplicity 6)  6 Br 3.28-3.35
2 Tl 0.0000 0.0000 0.1863 (multiplicity 6)  3 Br 3.26
3 Tl 0.0000 0.0000 0.3537 (multiplicity 6)  3 Br 3.28
4 Pt 0.0000 0.0000 0.0000 (multiplicity 3)  6 Br 2.59
5 Pt 0.0000 0.0000 0.5000 (multiplicity 3)  6 Br 2.58
6 Br 0.0043 0.5022 0.6358 (multiplicity 18)  1 Pt 2.59
7 Br 0.0061 0.5031 0.1974 (multiplicity 18)  1 Pt 2.58

Calculated values
DFT total energy in eV/cell: -175.9

=====

(8)
This record from Alexandria describes a relaxed K4Pu2Br9 crystal. The functional is PBE.

abc: 14.0435 8.1073 21.2357
angles: 90.00 90.01 90.00
With the nearest neighbours (Å) after each atom.
Space group C2/c (No. 15)
Symmetry-distinct sites (fractional):
1 K 0.1667 0.0001 0.0201 (multiplicity 8)  6 Br 3.32-3.45
2 K 0.1667 0.0004 0.3146 (multiplicity 8)  6 Br 3.29-3.31
3 Pu 0.0000 0.5003 0.1524 (multiplicity 8)  6 Br 2.91-3.02
4 Br 0.0000 0.2289 0.2500 (multiplicity 4)  2 Pu 3.02, 2 K 3.29
5 Br 0.0174 0.1851 0.9124 (multiplicity 8)  1 Pu 2.91
6 Br 0.1357 0.3639 0.7501 (multiplicity 8)  2 Pu 3.02, 2 K 3.29
7 Br 0.1485 0.3168 0.4125 (multiplicity 8)  1 Pu 2.91
8 Br 0.1660 0.3691 0.0876 (multiplicity 8)  1 Pu 2.91

Calculated values
DFT total energy in eV/cell: -291.9

=====

(9)
This record from Alexandria describes a relaxed K2PuBr5 crystal. The functional is PBE.

abc: 13.7119 9.1742 8.5554
angles: 90.00 90.00 90.00
With the nearest neighbours (Å) after each atom.
Space group Pnma (No. 62)
Symmetry-distinct sites (fractional):
1 K 0.1707 0.0039 0.0540 (multiplicity 8)  8 Br 3.38-3.59
2 Pu 0.0023 0.2500 0.5661 (multiplicity 4)  7 Br 2.92-3.01
3 Br 0.0075 0.2500 0.9183 (multiplicity 4)  1 Pu 3.01
4 Br 0.0796 0.5408 0.6636 (multiplicity 8)  2 Pu 2.97-2.99
5 Br 0.1789 0.2500 0.3748 (multiplicity 4)  1 Pu 2.92
6 Br 0.2028 0.7500 0.3399 (multiplicity 4)  1 Pu 2.93

Calculated values
Polymorph energy (0 for the lowest one) in eV/f.u.: 0.00

=====

(10)
This record from Alexandria describes a relaxed KPuBr2 crystal. The functional is PBE.

abc: 3.7408 3.7408 8.2631
angles: 90.00 90.00 90.00
With the nearest neighbours (Å) after each atom.
Space group P4/mmm (No. 123)
Symmetry-distinct sites (fractional):
1 K 0.0000 0.0000 0.0000 (multiplicity 1)  8 Br 3.43, 4 K 3.74
2 Pu 0.0000 0.0000 0.5000 (multiplicity 1)  8 Br 3.29
3 Br 0.5000 0.5000 0.2633 (multiplicity 2)  4 Pu 3.29, 4 K 3.43

Calculated values
DFT total energy in eV/cell: -23.1

=====

(11)
This record from Alexandria describes a relaxed KPu2Br8 crystal. The functional is PBE.

abc: 13.1391 8.6242 8.2949
angles: 90.00 103.23 90.00
With the nearest neighbours (Å) after each atom.
Space group C2/m (No. 12)
Symmetry-distinct sites (fractional):
1 K 0.0000 0.0000 0.0000 (multiplicity 2)  6 Br 3.29-3.58
2 Pu 0.2361 0.5000 0.4836 (multiplicity 4)  6 Br 2.69-2.91
3 Br 0.1136 0.2273 0.3566 (multiplicity 8)  2 Pu 2.88-2.91
4 Br 0.1474 0.5000 0.7460 (multiplicity 4)  1 Pu 2.69
5 Br 0.1873 0.0000 0.7955 (multiplicity 4)  1 Pu 2.73

Calculated values
Polymorph energy (0 for the lowest one) in eV/f.u.: 0.00

=====

(12)
This record from Alexandria describes a relaxed KPuBr4 crystal. The functional is PBE.

abc: 9.8229 14.1968 7.1608
angles: 90.00 122.11 90.00
With the nearest neighbours (Å) after each atom.
Space group C2/c (No. 15)
Symmetry-distinct sites (fractional):
1 K 0.0000 0.1358 0.2500 (multiplicity 4)  8 Br 3.39-3.48
2 Pu 0.0000 0.4842 0.7500 (multiplicity 4)  8 Br 2.93-3.15
3 Br 0.1045 0.3388 0.5632 (multiplicity 8)  2 Pu 2.93-3.15
4 Br 0.2262 0.0600 0.7954 (multiplicity 8)  2 Pu 2.99-3.07

Calculated values
Polymorph energy (0 for the lowest one) in eV/f.u.: 0.24